Entry 1:
Density functional theory data (PBE) for a relaxed BaTlAu2 crystal. Values from VASP.

## Properties
Magnetization: 0.0 Bohr magnetons per cell
E_form: -1.456 eV/f.u.
Crystal system: trigonal
Electronic total energy: -3.075 eV per atom

Geometry as Quantum ESPRESSO input:
```
&SYSTEM
  ibrav = 0, nat = 4, ntyp = 3
/
ATOMIC_SPECIES
Au 196.97 Au.upf
Ba 137.33 Ba.upf
Tl 204.38 Tl.upf
CELL_PARAMETERS angstrom
4.658 0.000 0.000
2.329 4.034 0.000
2.329 1.345 6.999
ATOMIC_POSITIONS angstrom
Au 2.329 1.345 2.009
Au 2.329 1.345 4.949
Ba 6.987 4.034 6.941
Tl 4.658 2.689 3.599
```

=====

Entry 2:
Density functional theory data (PBE) for a relaxed YTeOs2 crystal. Values from VASP.

## Properties
Formation energy from raw total energies: 0.261 eV per atom
Magnetization: 0.0 Bohr magnetons per cell
Crystal system: orthorhombic
Electronic total energy: -7.755 eV per atom

Geometry as Quantum ESPRESSO input:
```
&SYSTEM
  ibrav = 0, nat = 4, ntyp = 3
/
ATOMIC_SPECIES
Te 127.60 Te.upf
Os 190.23 Os.upf
Y 88.91 Y.upf
CELL_PARAMETERS angstrom
4.452 0.000 0.000
0.000 3.330 0.000
0.000 0.000 5.734
ATOMIC_POSITIONS angstrom
Te 2.226 0.832 1.433
Os 0.000 0.832 5.466
Os 0.000 0.832 3.135
Y 2.226 2.497 4.300
```

=====

Entry 3:
Density functional theory data (PBE) for a relaxed IrAuBr2 crystal. Values from VASP.

## Properties
Formation energy from raw total energies: 0.310 eV per atom
Magnetization: 0.0 Bohr magnetons per cell
Crystal system: monoclinic
Energy relative to the lowest polymorph listed for this composition: 198 meV per atom
Electronic total energy: -3.561 eV per atom

Geometry as Quantum ESPRESSO input:
```
&SYSTEM
  ibrav = 0, nat = 4, ntyp = 3
/
ATOMIC_SPECIES
Br 79.90 Br.upf
Au 196.97 Au.upf
Ir 192.22 Ir.upf
CELL_PARAMETERS angstrom
7.311 0.126 -0.468
6.519 3.313 -0.468
1.828 0.454 4.372
ATOMIC_POSITIONS angstrom
Br 6.536 1.625 2.289
Br 3.121 0.776 3.802
Au 3.914 0.973 0.859
Ir 11.743 2.920 2.577
```